A plane-wave DFT calculation with PBE was carried out for a relaxed LaGaS3 crystal.

## Properties
raw formation energy = -1.319 eV per atom
energy above the most stable polymorph in this dataset = 135.3 meV/atom
total magnetization = 0.00 μB per atom
E = -26.930 eV/f.u.

Cell: 6.1009 8.2316 11.0264 Å, 113.75 90.00 90.00°
With the nearest neighbours (Å) after each atom.
Element x y z (fractional)
S 0.9365 0.9526 0.3336  2 Ga 2.31-2.53
S 0.9003 0.1958 0.1063  2 Ga 2.38-2.47
S 0.7195 0.6514 0.0446  1 Ga 2.34
S 0.0635 0.0474 0.6664  2 Ga 2.31-2.53
S 0.5635 0.9526 0.8336  2 Ga 2.31-2.53
La 0.2720 0.7155 0.6223  6 S 2.85-3.10
Ga 0.7426 0.9073 0.0023  5 S 2.31-2.53
Ga 0.2574 0.0927 0.9977  5 S 2.31-2.53
S 0.4365 0.0474 0.1664  2 Ga 2.31-2.53
S 0.7805 0.6514 0.5446  1 Ga 2.34
Ga 0.7574 0.9073 0.5023  5 S 2.31-2.53
S 0.2195 0.3486 0.4554  1 Ga 2.34
S 0.5997 0.1958 0.6063  2 Ga 2.38-2.47
S 0.2805 0.3486 0.9554  1 Ga 2.34
La 0.7720 0.2845 0.8777  6 S 2.85-3.10
Ga 0.2426 0.0927 0.4977  5 S 2.31-2.53
La 0.7280 0.2845 0.3777  6 S 2.85-3.10
S 0.0997 0.8042 0.8937  2 Ga 2.38-2.47
La 0.2280 0.7155 0.1223  6 S 2.85-3.10
S 0.4003 0.8042 0.3937  2 Ga 2.38-2.47